1.
VASP calculation (PBE) on a relaxed SrAcS crystal.

Unit cell a=8.324 b=4.288 c=9.230 alpha=103.43 beta=116.80 gamma=90.00
Positions (direct):
Sr: 0.706 0.206 0.413
Sr: 0.294 0.794 0.587
Ac: 0.746 0.500 0.000
Ac: 0.254 0.500 0.000
S: 0.118 0.618 0.235
S: 0.882 0.382 0.765

## Properties
Fermi-level density of states   3.5 states/eV per cell
Electronic total energy   -4.10 eV per atom
Uncorrected formation energy   -0.796 eV/atom

2.
VASP calculation (PBE) on a relaxed Sr4AcS5 crystal.

Unit cell a=4.286 b=4.286 c=15.483 alpha=97.96 beta=97.96 gamma=90.00
Positions (direct):
Sr: 0.399 0.399 0.798
Sr: 0.800 0.800 0.599
Sr: 0.200 0.200 0.401
Sr: 0.601 0.601 0.202
Ac: 0.000 0.000 0.000
S: 0.100 0.100 0.200
S: 0.500 0.500 0.000
S: 0.900 0.900 0.800
S: 0.300 0.300 0.600
S: 0.700 0.700 0.400

## Properties
Fermi-level density of states   1.6 states/eV per cell
Electronic total energy   -5.26 eV per atom
Uncorrected formation energy   -2.112 eV/atom

3.
VASP calculation (PBE) on a relaxed SrAcS2 crystal.

Unit cell a=4.242 b=4.242 c=14.446 alpha=90.00 beta=90.00 gamma=120.00
Positions (direct):
Sr: 0.667 0.333 0.250
Sr: 0.333 0.667 0.750
Ac: 0.000 0.000 0.500
Ac: 0.000 0.000 0.000
S: 0.333 0.667 0.376
S: 0.667 0.333 0.876
S: 0.667 0.333 0.624
S: 0.333 0.667 0.124

## Properties
Fermi-level density of states   2.4 states/eV per cell
Electronic total energy   -5.52 eV per atom
ΔE to the lowest computed polymorph   37.7 meV per atom
Uncorrected formation energy   -2.009 eV/atom

What did the second record say?
VASP calculation (PBE) on a relaxed Sr4AcS5 crystal.

Unit cell a=4.286 b=4.286 c=15.483 alpha=97.96 beta=97.96 gamma=90.00
Positions (direct):
Sr: 0.399 0.399 0.798
Sr: 0.800 0.800 0.599
Sr: 0.200 0.200 0.401
Sr: 0.601 0.601 0.202
Ac: 0.000 0.000 0.000
S: 0.100 0.100 0.200
S: 0.500 0.500 0.000
S: 0.900 0.900 0.800
S: 0.300 0.300 0.600
S: 0.700 0.700 0.400

## Properties
Fermi-level density of states   1.6 states/eV per cell
Electronic total energy   -5.26 eV per atom
Uncorrected formation energy   -2.112 eV/atom

> electronic total energy of number 3 (SrAcS2)?

-5.52 eV per atom

Repeat the first record exactly.
VASP calculation (PBE) on a relaxed SrAcS crystal.

Unit cell a=8.324 b=4.288 c=9.230 alpha=103.43 beta=116.80 gamma=90.00
Positions (direct):
Sr: 0.706 0.206 0.413
Sr: 0.294 0.794 0.587
Ac: 0.746 0.500 0.000
Ac: 0.254 0.500 0.000
S: 0.118 0.618 0.235
S: 0.882 0.382 0.765

## Properties
Fermi-level density of states   3.5 states/eV per cell
Electronic total energy   -4.10 eV per atom
Uncorrected formation energy   -0.796 eV/atom

> Which of these has the lowest uncorrected formation energy?

Sr4AcS5